Crystalline TlMoP2 at its relaxed geometry. Source: the Alexandria database, functional GGA-PBE.

For the energy relative to the elements, the calculation gives -0.075 eV/atom. The size of the total moment comes out at 0.00 Bohr magnetons per cell. For the total energy, the calculation gives -6.0797 eV per atom. The offset from the most stable computed form comes out at 13 meV/atom.

The structure belongs to space group R-3m (No. 166, hexagonal axes); the cell edges are 3.2723, 3.2723 and 25.4724 Å and the angles 90.00°, 90.00° and 120.00°. The distinct sites, in fractional coordinates, are Tl at (0.0000, 0.0000, 0.0000), Mo at (0.0000, 0.0000, 0.5000) and P at (0.0000, 0.0000, 0.2286).